The following is a PBE-GGA calculation of a relaxed structure of NaGaMo3, from the Alexandria database.

abc: 4.7095 4.7095 4.7095
angles: 90.00 90.00 90.00
Space group Pm-3m (No. 221)
One atom of each set of equivalent atoms:
Na (0.0000, 0.0000, 0.0000) (multiplicity 1)
Ga (0.5000, 0.5000, 0.5000) (multiplicity 1)
Mo (0.0000, 0.5000, 0.5000) (multiplicity 3)

Values from the calculation:
The formation energy from the elements comes out at 1.68 eV/atom. The calculation puts the polymorph energy (0 for the lowest one) at 0.000 eV per atom.

=====

The following is a PBE-GGA calculation of a relaxed structure of LiAc5Hg4, from the Alexandria database.

abc: 4.0623 4.0623 20.1115
angles: 90.00 90.00 90.00
Space group P4/mmm (No. 123)
One atom of each set of equivalent atoms:
Li (0.0000, 0.0000, 0.0000) (multiplicity 1)
Ac (0.5000, 0.5000, 0.1019) (multiplicity 2)
Ac (0.5000, 0.5000, 0.2999) (multiplicity 2)
Ac (0.5000, 0.5000, 0.5000) (multiplicity 1)
Hg (0.0000, 0.0000, 0.1973) (multiplicity 2)
Hg (0.0000, 0.0000, 0.3996) (multiplicity 2)

Values from the calculation:
The formation energy from the elements comes out at -0.37 eV/atom.

=====

The following is a PBE-GGA calculation of a relaxed structure of YAuO2, from the Alexandria database.

abc: 3.5958 3.5958 12.1970
angles: 90.00 90.00 120.00
Space group P6_3/mmc (No. 194)
One atom of each set of equivalent atoms:
Y (0.0000, 0.0000, 0.0000) (multiplicity 2)
Au (0.3333, 0.6667, 0.2500) (multiplicity 2)
O (0.3333, 0.6667, 0.0822) (multiplicity 4)

Values from the calculation:
For the final energy, the calculation gives -0.2623 hartree per atom.

=====

The following is a PBE-GGA calculation of a relaxed structure of Be2CuP, from the Alexandria database.

abc: 3.5768 3.5768 3.3059
angles: 90.00 90.00 90.00
Space group P4/mmm (No. 123)
One atom of each set of equivalent atoms:
Be (0.0000, 0.5000, 0.0000) (multiplicity 2)
Cu (0.0000, 0.0000, 0.5000) (multiplicity 1)
P (0.5000, 0.5000, 0.5000) (multiplicity 1)

Values from the calculation:
The formation energy from the elements comes out at 0.16 eV/atom.

=====

The following is a PBE-GGA calculation of a relaxed structure of BeCr3H, from the Alexandria database.

abc: 3.5824 3.5824 3.5824
angles: 90.00 90.00 90.00
Space group Pm-3m (No. 221)
One atom of each set of equivalent atoms:
Be (0.0000, 0.0000, 0.0000) (multiplicity 1)
Cr (0.0000, 0.5000, 0.5000) (multiplicity 3)
H (0.5000, 0.5000, 0.5000) (multiplicity 1)

Values from the calculation:
The calculation puts the polymorph energy (0 for the lowest one) at 0.000 eV per atom.

=====

The following is a PBE-GGA calculation of a relaxed structure of MnCr2Te, from the Alexandria database.

abc: 3.9143 3.9143 7.6682
angles: 90.00 90.00 90.00
Space group I-4m2 (No. 119)
One atom of each set of equivalent atoms:
Mn (0.0000, 0.0000, 0.0000) (multiplicity 2)
Cr (0.0000, 0.0000, 0.5000) (multiplicity 2)
Cr (0.0000, 0.5000, 0.2500) (multiplicity 2)
Te (0.0000, 0.5000, 0.7500) (multiplicity 2)

Values from the calculation:
For the final energy, the calculation gives -0.2789 hartree per atom.

=====

The following is a PBE-GGA calculation of a relaxed structure of NdCdH8Ir2, from the Alexandria database.

abc: 4.8504 4.8504 17.8135
angles: 90.00 90.00 120.00
Space group R-3 (No. 148, hexagonal axes)
One atom of each set of equivalent atoms:
Nd (0.0000, 0.0000, 0.0000) (multiplicity 3)
Cd (0.0000, 0.0000, 0.5000) (multiplicity 3)
H (0.0000, 0.0000, 0.3184) (multiplicity 6)
H (0.0291, 0.2988, 0.8949) (multiplicity 18)
Ir (0.0000, 0.0000, 0.2281) (multiplicity 6)

Values from the calculation:
For the final energy, the calculation gives -0.1559 hartree per atom.

=====

The following is a PBE-GGA calculation of a relaxed structure of YEr3Tl3, from the Alexandria database.

abc: 9.3439 9.3439 5.2052
angles: 90.00 90.00 120.00
Space group P6_3/m (No. 176)
One atom of each set of equivalent atoms:
Y (0.3333, 0.6667, 0.2500) (multiplicity 2)
Er (0.0026, 0.7704, 0.2500) (multiplicity 6)
Tl (0.0731, 0.6235, 0.7500) (multiplicity 6)

Values from the calculation:
The formation energy from the elements comes out at -0.22 eV/atom. The calculation puts the polymorph energy (0 for the lowest one) at 0.017 eV per atom.

=====

The following is a PBE-GGA calculation of a relaxed structure of AgSNO2, from the Alexandria database.

abc: 4.0404 4.0404 4.1067
angles: 90.00 90.00 90.00
Space group P4/mmm (No. 123)
One atom of each set of equivalent atoms:
Ag (0.0000, 0.0000, 0.0000) (multiplicity 1)
S (0.5000, 0.5000, 0.5000) (multiplicity 1)
N (0.0000, 0.0000, 0.5000) (multiplicity 1)
O (0.0000, 0.5000, 0.0000) (multiplicity 2)

Values from the calculation:
For the final energy, the calculation gives -0.1241 hartree per atom.

=====

The following is a PBE-GGA calculation of a relaxed structure of Ag3Ge4Te8, from the Alexandria database.

abc: 11.6941 11.7435 8.2204
angles: 90.00 134.48 90.00
Space group C2/m (No. 12)
One atom of each set of equivalent atoms:
Ag (0.0000, 0.0000, 0.0000) (multiplicity 2)
Ag (0.2500, 0.2500, 0.5000) (multiplicity 4)
Ge (0.0000, 0.5000, 0.0000) (multiplicity 2)
Ge (0.0000, 0.5000, 0.5000) (multiplicity 2)
Ge (0.2500, 0.2500, 0.0000) (multiplicity 4)
Te (0.0000, 0.2507, 0.0000) (multiplicity 4)
Te (0.0000, 0.2524, 0.5000) (multiplicity 4)
Te (0.2443, 0.5000, 0.4978) (multiplicity 4)
Te (0.2493, 0.0000, 0.0001) (multiplicity 4)

Values from the calculation:
For the final energy, the calculation gives -0.1285 hartree per atom.

=====

The following is a PBE-GGA calculation of a relaxed structure of PrHoGePd, from the Alexandria database.

abc: 7.2276 7.2276 7.2276
angles: 90.00 90.00 90.00
Space group F-43m (No. 216)
One atom of each set of equivalent atoms:
Pr (0.0000, 0.0000, 0.0000) (multiplicity 4)
Ho (0.0000, 0.0000, 0.5000) (multiplicity 4)
Ge (0.2500, 0.2500, 0.7500) (multiplicity 4)
Pd (0.2500, 0.2500, 0.2500) (multiplicity 4)

Values from the calculation:
The formation energy from the elements comes out at -0.74 eV/atom. The calculation puts the polymorph energy (0 for the lowest one) at 0.092 eV per atom.

=====

The following is a PBE-GGA calculation of a relaxed structure of Nb2RuRh, from the Alexandria database.

abc: 4.1632 4.1632 3.7162
angles: 90.00 90.00 90.00
Space group P4/mmm (No. 123)
One atom of each set of equivalent atoms:
Nb (0.0000, 0.5000, 0.0000) (multiplicity 2)
Ru (0.0000, 0.0000, 0.5000) (multiplicity 1)
Rh (0.5000, 0.5000, 0.5000) (multiplicity 1)

Values from the calculation:
The formation energy from the elements comes out at -0.28 eV/atom.